The following is a GGA-PBE calculation of a relaxed NaNiAs3 crystal, from Alexandria via LeMat-Bulk.

Computed properties:
Energy of formation   -0.18 eV per atom
SG   P2_1, No. 4
Density of states at the Fermi level   4.21 states/eV/cell
Offset from the most stable computed form   0.00 eV/f.u.

Geometry as POSCAR:
```
NaNiAs3
1.0
5.5794 -0.0002 0.0002
0.0001 5.4448 -0.0046
0.0002 -0.0055 6.1244
Na Ni As
2 2 6
direct
0.4383 0.3594 0.7041
0.9382 0.9936 0.1970
0.1508 0.7690 0.7006
0.6508 0.5836 0.2013
0.3656 0.2695 0.2032
0.4602 0.8754 0.9612
0.9633 0.4763 0.4583
0.8657 0.0833 0.6982
0.9601 0.4774 0.9404
0.4632 0.8766 0.4433
```